YPtSe2Br | PBE-GGA | relaxed

Cell: 5.041 5.041 4.974 Å, 90.00 90.00 90.00°
Sites, in units of the cell vectors:
1 Y 0.000 0.000 0.000
2 Pt 0.500 0.500 0.500
3 Se 0.000 0.500 0.500
4 Se 0.500 0.000 0.500
5 Br 0.500 0.500 0.000

* distance to the lowest polymorph of the same formula: 0 meV per atom
* E_form (uncorrected): -2.16 eV/f.u.